Material: Tl2Cr2TeSe6
Method: DFT, PBE
State: relaxed

abc: 6.6605 6.6605 8.0078
angles: 97.24 97.24 120.14
Last column: nearest neighbours and their distance in Å.
Fractional coordinates of all 11 atoms:
Se 0.5842 0.9424 0.3134  2 Cr 2.58, 1 Te 2.79
Se 0.6942 0.6942 0.6867  2 Cr 2.58, 1 Te 2.81
Se 0.0576 0.4158 0.6866  2 Cr 2.58, 1 Te 2.79
Cr 0.6679 0.3321 0.5000  6 Se 2.58
Se 0.4158 0.0576 0.6866  2 Cr 2.58, 1 Te 2.79
Se 0.9424 0.5842 0.3134  2 Cr 2.58, 1 Te 2.79
Tl 0.8431 0.1569 0.0000  6 Se 3.28-3.34, 1 Tl 3.62
Tl 0.1569 0.8431 0.0000  6 Se 3.28-3.34, 1 Tl 3.62
Te 0.0000 0.0000 0.5000  6 Se 2.79-2.81
Cr 0.3321 0.6679 0.5000  6 Se 2.58
Se 0.3058 0.3058 0.3133  2 Cr 2.58, 1 Te 2.81

Computed properties:
M_tot: 6.0 μB per formula unit
formation energy from raw total energies: -0.38 eV/atom
space-group type: C2/m

---

Material: TlCrTeSe
Method: DFT, PBE
State: relaxed

abc: 3.4283 3.4282 9.5374
angles: 89.99 89.99 60.00
Last column: nearest neighbours and their distance in Å.
Fractional coordinates of all 4 atoms:
Cr 0.5345 0.5345 0.5779  3 Se 2.46, 3 Te 2.64
Te 0.8680 0.8680 0.3950  3 Cr 2.64
Se 0.8678 0.8678 0.7313  3 Cr 2.46
Tl 0.2020 0.2020 0.0448  6 Tl 3.43, 3 Se 3.58-3.59

Computed properties:
M_tot: 0.4 μB per formula unit
formation energy from raw total energies: -0.18 eV/atom
space-group type: P3m1

---

Material: Th6CrSe12
Method: DFT, PBE
State: relaxed

abc: 8.3721 8.3721 8.3721
angles: 100.37 100.37 100.37
Last column: nearest neighbours and their distance in Å.
Fractional coordinates of all 19 atoms:
Th 0.6270 0.2944 0.1310  7 Se 2.90-3.10
Se 0.3125 0.0629 0.9565  1 Cr 2.68, 2 Th 2.90-2.93
Th 0.3730 0.7056 0.8690  7 Se 2.90-3.10
Th 0.2944 0.1310 0.6270  7 Se 2.90-3.10
Se 0.0629 0.9565 0.3125  1 Cr 2.68, 2 Th 2.90-2.93
Se 0.0435 0.6875 0.9371  1 Cr 2.68, 2 Th 2.90-2.93
Th 0.8690 0.3730 0.7056  7 Se 2.90-3.10
Cr 0.0000 0.0000 0.0000  6 Se 2.68
Se 0.8238 0.5703 0.4286  4 Th 2.93-3.09
Se 0.9371 0.0435 0.6875  1 Cr 2.68, 2 Th 2.90-2.93
Se 0.9565 0.3125 0.0629  1 Cr 2.68, 2 Th 2.90-2.93
Se 0.4297 0.5714 0.1762  4 Th 2.93-3.09
Se 0.6875 0.9371 0.0435  1 Cr 2.68, 2 Th 2.90-2.93
Se 0.5714 0.1762 0.4297  4 Th 2.93-3.09
Se 0.4286 0.8238 0.5703  4 Th 2.93-3.09
Se 0.5703 0.4286 0.8238  4 Th 2.93-3.09
Th 0.7056 0.8690 0.3730  7 Se 2.90-3.10
Th 0.1310 0.6270 0.2944  7 Se 2.90-3.10
Se 0.1762 0.4297 0.5714  4 Th 2.93-3.09

Computed properties:
M_tot: 5.4 μB per formula unit
formation energy from raw total energies: -1.52 eV/atom
space-group type: R-3